Model one:
The following is a DFT calculation (GGA-PBE) of a geometry-optimized CaTb2Co structure.

Cell lengths 10.6449, 10.6449, 10.6449 Å; angles 20.60, 20.60, 20.60 degrees
Last column: nearest neighbours and their distance in Å.
Positions (direct):
Ca (0.0000, 0.0000, 0.0000)  2 Tb 3.73, 6 Ca 3.81
Tb (0.1195, 0.1195, 0.1195)  3 Co 2.65
Tb (0.8805, 0.8805, 0.8805)  3 Co 2.65
Co (0.5000, 0.5000, 0.5000)  6 Tb 2.65

Results
Calculated density: 5.294 g cm⁻³
Space-group type: R-3m, No. 166
Volume: 130.75 Å³ per cell

Model two:
The following is a DFT calculation (GGA-PBE) of a geometry-optimized CaTb2Co structure.

Cell lengths 7.0058, 7.0058, 9.0556 Å; angles 91.18, 91.18, 30.57 degrees
Last column: nearest neighbours and their distance in Å.
Positions (direct):
Ca (0.1298, 0.1298, 0.4704)  5 Ca 3.56-3.77, 7 Tb 3.71-3.96, 1 Co 3.98
Ca (0.8702, 0.8702, 0.5296)  5 Ca 3.56-3.77, 7 Tb 3.71-3.96, 1 Co 3.98
Tb (0.2681, 0.2681, 0.8474)  3 Co 2.77-2.85
Tb (0.4676, 0.4676, 0.1746)  4 Co 2.77-2.90
Tb (0.5324, 0.5324, 0.8254)  4 Co 2.77-2.90
Tb (0.7319, 0.7319, 0.1526)  3 Co 2.77-2.85
Co (0.1004, 0.1004, 0.0324)  1 Co 2.76, 7 Tb 2.77-2.90
Co (0.8996, 0.8996, 0.9676)  1 Co 2.76, 7 Tb 2.77-2.90

Results
Calculated density: 6.125 g cm⁻³
Space-group type: C2/m, No. 12
Volume: 226.02 Å³ per cell

Of them, model two has the highest stability.

Model one:
The following is a DFT calculation (GGA-PBE) of a geometry-optimized CaCoTc2 structure.

Cell lengths 9.4410, 9.4410, 9.4410 Å; angles 17.05, 17.05, 17.05 degrees
Last column: nearest neighbours and their distance in Å.
Positions (direct):
Ca (0.0000, 0.0000, 0.0000)  6 Ca 2.80, 6 Tc 3.11
Co (0.5000, 0.5000, 0.5000)  6 Tc 2.57, 6 Co 2.80
Tc (0.2383, 0.2383, 0.2383)  3 Co 2.57, 6 Tc 2.80
Tc (0.7617, 0.7617, 0.7617)  3 Co 2.57, 6 Tc 2.80

Results
Calculated density: 7.764 g cm⁻³
Space-group type: R-3m, No. 166
Volume: 63.09 Å³ per cell

Model two:
The following is a DFT calculation (GGA-PBE) of a geometry-optimized CaCoTc2 structure.

Cell lengths 5.7852, 5.7852, 5.7852 Å; angles 152.70, 133.65, 54.63 degrees
Last column: nearest neighbours and their distance in Å.
Positions (direct):
Ca (0.0000, 0.0000, 0.0000)  4 Co 2.65, 2 Ca 2.73
Co (0.5000, 0.5000, 0.0000)  4 Tc 2.56, 4 Ca 2.65, 2 Co 2.73
Tc (0.2897, 0.7897, 0.5000)  2 Co 2.56, 6 Tc 2.73-2.78
Tc (0.7103, 0.2103, 0.5000)  2 Co 2.56, 6 Tc 2.73-2.78

Results
Calculated density: 7.665 g cm⁻³
Space-group type: Immm, No. 71
Volume: 63.92 Å³ per cell

Model three:
The following is a DFT calculation (GGA-PBE) of a geometry-optimized CaCoTc2 structure.

Cell lengths 2.9918, 4.7260, 4.7076 Å; angles 90.00, 99.22, 90.00 degrees
Last column: nearest neighbours and their distance in Å.
Positions (direct):
Ca (0.0000, 0.0000, 0.0000)  2 Co 2.58
Co (0.5000, 0.0000, 0.5000)  2 Ca 2.58, 4 Tc 2.67
Tc (0.3333, 0.5000, 0.7253)  3 Tc 2.48-2.67, 2 Co 2.67
Tc (0.6667, 0.5000, 0.2747)  3 Tc 2.48-2.67, 2 Co 2.67

Results
Calculated density: 7.456 g cm⁻³
Space-group type: P2/m, No. 10
Volume: 65.70 Å³ per cell

Of them, model two has the highest stability.